# PmCd

An optimized crystal structure of PmCd (GGA-PBE, OQMD via LeMat-Bulk).

Cell lengths 6.3214, 6.3214, 6.3214 Å; angles 90.00, 90.00, 90.00 degrees
Last column: nearest neighbours and their distance in Å.
Space group Fm-3m (No. 225)
Symmetry-distinct sites (fractional):
Pm: 0.0000 0.0000 0.0000 (multiplicity 4)  6 Cd 3.16
Cd: 0.0000 0.0000 0.5000 (multiplicity 4)  6 Pm 3.16

Values from the calculation:
Total energy (eV/atom): -2.8030
ΔE_f (eV/atom): 0.017
Volume (Å³/cell): 252.6

***

# BePd2Pb

An optimized crystal structure of BePd2Pb (GGA-PBE, OQMD via LeMat-Bulk).

Cell lengths 6.3867, 6.3867, 6.3867 Å; angles 90.00, 90.00, 90.00 degrees
Last column: nearest neighbours and their distance in Å.
Space group F-43m (No. 216)
Symmetry-distinct sites (fractional):
Be: 0.0000 0.0000 0.0000 (multiplicity 4)  4 Pb 2.77, 4 Pd 2.77
Pd: 0.0000 0.0000 0.5000 (multiplicity 4)  4 Pb 2.77, 4 Pd 2.77
Pd: 0.2500 0.2500 0.2500 (multiplicity 4)  4 Be 2.77, 4 Pd 2.77
Pb: 0.2500 0.2500 0.7500 (multiplicity 4)  4 Be 2.77, 4 Pd 2.77

Values from the calculation:
Total energy (eV/atom): -4.3961
Volume (Å³/cell): 260.5

***

# SmNi2SbAs

An optimized crystal structure of SmNi2SbAs (GGA-PBE, OQMD via LeMat-Bulk).

Cell lengths 4.2898, 4.2898, 9.8595 Å; angles 90.00, 90.00, 90.00 degrees
Last column: nearest neighbours and their distance in Å.
Space group P4/nmm (No. 129, origin choice 2)
Symmetry-distinct sites (fractional):
Sm: 0.2500 0.2500 0.2239 (multiplicity 2)  8 Ni 3.08-3.30, 5 As 3.20-3.40
Ni: 0.2500 0.2500 0.6436 (multiplicity 2)  1 As 2.32, 4 Sb 2.57
Ni: 0.2500 0.7500 0.0000 (multiplicity 2)  4 As 2.45
Sb: 0.2500 0.7500 0.5000 (multiplicity 2)  4 Ni 2.57
As: 0.2500 0.2500 0.8792 (multiplicity 2)  5 Ni 2.32-2.45

Values from the calculation:
Total energy (eV/atom): -5.6163
E above lowest polymorph (meV per atom): 58
Volume (Å³/cell): 181.4

***

# Dy2Lu3Ga3

An optimized crystal structure of Dy2Lu3Ga3 (GGA-PBE, OQMD via LeMat-Bulk).

Cell lengths 5.3914, 7.0939, 10.3465 Å; angles 90.00, 90.00, 90.00 degrees
Last column: nearest neighbours and their distance in Å.
Space group Amm2 (No. 38)
Symmetry-distinct sites (fractional):
Dy: 0.0000 0.0000 0.0000 (multiplicity 2)  4 Ga 2.94-3.11
Dy: 0.5000 0.0000 0.4061 (multiplicity 2)  6 Lu 3.11-3.34, 4 Ga 3.20
Lu: 0.0000 0.0000 0.5960 (multiplicity 2)  4 Ga 3.05-3.38, 4 Lu 3.30, 2 Dy 3.34
Lu: 0.5000 0.2477 0.1584 (multiplicity 4)  4 Ga 2.96-3.31, 2 Dy 3.11-3.17, 2 Lu 3.30
Ga: 0.0000 0.1805 0.2937 (multiplicity 4)  1 Ga 2.56
Ga: 0.5000 0.0000 0.8868 (multiplicity 2)  2 Dy 2.94, 2 Lu 2.96

Values from the calculation:
Total energy (eV/atom): -4.2266
E above lowest polymorph (meV per atom): 147
Volume (Å³/cell): 395.7

***

# Nb2IrAu

An optimized crystal structure of Nb2IrAu (GGA-PBE, OQMD via LeMat-Bulk).

Cell lengths 6.4719, 6.4719, 6.4719 Å; angles 90.00, 90.00, 90.00 degrees
Last column: nearest neighbours and their distance in Å.
Space group F-43m (No. 216)
Symmetry-distinct sites (fractional):
Nb: 0.0000 0.0000 0.0000 (multiplicity 4)  4 Nb 2.80, 4 Au 2.80
Nb: 0.2500 0.2500 0.2500 (multiplicity 4)  4 Ir 2.80, 4 Nb 2.80
Ir: 0.0000 0.0000 0.5000 (multiplicity 4)  4 Au 2.80, 4 Nb 2.80
Au: 0.2500 0.2500 0.7500 (multiplicity 4)  4 Nb 2.80, 4 Ir 2.80

Values from the calculation:
Total energy (eV/atom): -8.1054
ΔE_f (eV/atom): -0.028
Volume (Å³/cell): 271.1

***

# Li4Ga3Ag

An optimized crystal structure of Li4Ga3Ag (GGA-PBE, OQMD via LeMat-Bulk).

Cell lengths 4.3637, 4.3637, 6.3110 Å; angles 90.00, 90.00, 90.00 degrees
Last column: nearest neighbours and their distance in Å.
Space group P-4m2 (No. 115)
Symmetry-distinct sites (fractional):
Li: 0.0000 0.0000 0.0000 (multiplicity 1)  4 Li 2.70, 4 Ga 2.70
Li: 0.0000 0.5000 0.7489 (multiplicity 2)  4 Li 2.69-2.70, 2 Ga 2.69, 2 Ag 2.70
Li: 0.5000 0.5000 0.5000 (multiplicity 1)  4 Ga 2.68, 4 Li 2.69
Ga: 0.0000 0.0000 0.5000 (multiplicity 1)  4 Ga 2.68, 4 Li 2.69
Ga: 0.0000 0.5000 0.2526 (multiplicity 2)  4 Li 2.68-2.70, 2 Ga 2.68, 2 Ag 2.70
Ag: 0.5000 0.5000 0.0000 (multiplicity 1)  4 Li 2.70, 4 Ga 2.70

Values from the calculation:
Total energy (eV/atom): -2.7872
Volume (Å³/cell): 120.2

***

> Which of these has the highest total energy?

Li4Ga3Ag